The following is a DFT calculation (GGA+U) of crystalline PmSiNi2O6 at its relaxed geometry.

Unit cell a=5.0416 b=5.1116 c=5.5114 alpha=62.44 beta=64.42 gamma=61.75
With the nearest neighbours (Å) after each atom.
Space group P1 (No. 1)
Symmetry-distinct sites (fractional):
1 Pm 0.0000 0.0000 0.0000 (multiplicity 1)  5 O 2.23-2.49
2 Si 0.5269 0.5273 0.4181 (multiplicity 1)  6 O 1.76-1.87
3 Ni 0.2141 0.2025 0.3693 (multiplicity 1)  5 O 1.90-2.03
4 Ni 0.7255 0.7233 0.8138 (multiplicity 1)  6 O 2.03-2.20
5 O 0.1581 0.7819 0.6012 (multiplicity 1)  1 Si 1.86, 2 Ni 2.01-2.08
6 O 0.3637 0.5449 0.1693 (multiplicity 1)  1 Si 1.83, 1 Ni 1.90
7 O 0.4417 0.1595 0.6105 (multiplicity 1)  1 Si 1.84, 1 Ni 1.99
8 O 0.5549 0.9010 0.1562 (multiplicity 1)  1 Si 1.81
9 O 0.7657 0.4480 0.6186 (multiplicity 1)  1 Si 1.76
10 O 0.9042 0.3666 0.1695 (multiplicity 1)  1 Si 1.87, 1 Ni 1.94

Results
* D(E_F): 0.022 states/eV/atom
* theoretical density: 6.01 g/cm³
* total moment: 3.000 μB per formula unit
* calculated total energy: -64.77 eV per formula unit